Here is a geometry-optimized GaAgSeBr2 structure from Alexandria via LeMat-Bulk. Energies are from PBE.

Cell and atoms, written as POSCAR:
```
GaAgSeBr2
1.0
-3.5576 -1.8182 -3.4093
3.2684 0.5741 -3.7168
1.7491 -4.8901 0.7827
Ga Se Br Ag
1 1 2 1
direct
0.0000 0.0000 0.0000
0.0000 0.5000 0.0000
0.0000 0.0000 0.5000
0.5000 0.0000 0.0000
0.5000 0.5000 0.5000
```

Results
Its formation energy (no corrections) is -7 meV per atom. The space group is No. 123.

Here is a geometry-optimized GaAgSeBr2 structure from Alexandria via LeMat-Bulk. Energies are from PBE.

Cell and atoms, written as POSCAR:
```
GaAgSeBr2
1.0
5.4271 0.0000 0.0000
0.0000 5.4271 0.0000
0.0000 0.0000 5.1230
Ga Se Br Ag
1 1 2 1
direct
0.5000 0.5000 0.5000
0.0000 0.0000 0.5000
0.0000 0.5000 0.0000
0.5000 0.0000 0.0000
0.0000 0.0000 0.0000
```

Results
Its formation energy (no corrections) is 42 meV per atom. The space group is No. 123.

Here is a geometry-optimized Gd3Ag5Br12 structure from Alexandria via LeMat-Bulk. Energies are from PBE.

Cell and atoms, written as POSCAR:
```
Gd3Ag5Br12
1.0
14.6907 0.0000 0.0000
-4.8969 13.8505 0.0000
-4.8969 -6.9252 11.9949
Gd Ag Br
12 20 48
direct
0.7500 0.3750 0.1250
0.8750 0.7500 0.1250
0.3750 0.7500 0.6250
0.2500 0.1250 0.3750
0.8750 0.1250 0.2500
0.3750 0.6250 0.2500
0.6250 0.3750 0.7500
0.1250 0.8750 0.7500
0.7500 0.8750 0.6250
0.6250 0.2500 0.3750
0.1250 0.2500 0.8750
0.2500 0.6250 0.8750
0.1250 0.3750 0.2500
0.0000 0.5000 0.0000
0.0000 0.0000 0.0000
0.3750 0.2500 0.1250
0.5000 0.0000 0.5000
0.5000 0.5000 0.0000
0.1250 0.7500 0.3750
0.7500 0.1250 0.8750
0.7500 0.6250 0.3750
0.3750 0.1250 0.7500
0.6250 0.8750 0.2500
0.5000 0.5000 0.5000
0.5000 0.0000 0.0000
0.0000 0.0000 0.5000
0.2500 0.3750 0.6250
0.2500 0.8750 0.1250
0.0000 0.5000 0.5000
0.8750 0.2500 0.6250
0.6250 0.7500 0.8750
0.8750 0.6250 0.7500
0.7229 0.1306 0.0476
0.3247 0.5476 0.4170
0.9524 0.3694 0.2771
0.5476 0.2229 0.1306
0.5923 0.7229 0.6753
0.9524 0.5830 0.1753
0.3247 0.7771 0.4077
0.0830 0.9077 0.1306
0.5830 0.9524 0.6753
0.7229 0.5923 0.1753
0.7771 0.4524 0.3694
0.8247 0.9170 0.0476
0.1306 0.7229 0.5476
0.3694 0.4170 0.0923
0.0923 0.9170 0.3694
0.4077 0.1306 0.5830
0.0923 0.1753 0.2229
0.4524 0.6753 0.0830
0.8247 0.9077 0.2771
0.1306 0.4077 0.0830
0.3694 0.9524 0.7771
0.5830 0.6306 0.4077
0.9170 0.8247 0.5476
0.7771 0.3247 0.9077
0.4170 0.3694 0.5923
0.0830 0.1753 0.4524
0.2229 0.6753 0.0923
0.1753 0.0923 0.7229
0.6306 0.0476 0.2229
0.8694 0.5923 0.9170
0.5476 0.3247 0.9170
0.5923 0.8694 0.4170
0.9077 0.8247 0.7771
0.9077 0.0830 0.6306
0.8694 0.2771 0.4524
0.1753 0.0830 0.9524
0.6306 0.5830 0.9077
0.4170 0.0476 0.3247
0.2771 0.4077 0.8247
0.2229 0.5476 0.6306
0.9170 0.0923 0.8694
0.6753 0.2229 0.5923
0.4524 0.7771 0.8694
0.0476 0.4170 0.8247
0.4077 0.2771 0.3247
0.0476 0.6306 0.7229
0.6753 0.4524 0.5830
0.2771 0.8694 0.9524
```

Results
Its formation energy (no corrections) is -950 meV per atom. The space group is No. 230.

Here is a geometry-optimized Gd2AgBr structure from Alexandria via LeMat-Bulk. Energies are from PBE.

Cell and atoms, written as POSCAR:
```
Gd2AgBr
1.0
-2.3107 -2.1865 -2.7217
1.4900 -3.5585 -1.6262
-3.2286 -5.6815 4.0852
Gd Br Ag
2 1 1
direct
0.2550 0.2550 0.2352
0.7450 0.7450 0.7648
0.5000 0.5000 0.5000
0.0000 0.0000 0.0000
```

Results
Its formation energy (no corrections) is -609 meV per atom. The space group is No. 166.

Here is a geometry-optimized Gd2AgBr structure from Alexandria via LeMat-Bulk. Energies are from PBE.

Cell and atoms, written as POSCAR:
```
Gd2AgBr
1.0
3.5327 0.0000 0.0000
0.0000 3.5327 0.0000
0.0000 0.0000 8.2177
Gd Br Ag
2 1 1
direct
0.0000 0.0000 0.7696
0.0000 0.0000 0.2304
0.5000 0.5000 0.5000
0.5000 0.5000 0.0000
```

Results
Its formation energy (no corrections) is -593 meV per atom. The space group is No. 123.

Here is a geometry-optimized PrGdAgBr structure from Alexandria via LeMat-Bulk. Energies are from PBE.

Cell and atoms, written as POSCAR:
```
PrGdAgBr
1.0
-1.7277 -3.4952 -3.6230
2.8359 -0.8744 -4.4182
2.5437 -4.6288 -0.6570
Pr Gd Br Ag
1 1 1 1
direct
0.0000 0.0000 0.0000
0.5000 0.5000 0.5000
0.2500 0.2500 0.2500
0.7500 0.7500 0.7500
```

Results
Its formation energy (no corrections) is -496 meV per atom. The space group is No. 216.